1.
VASP calculation (PBE) on a relaxed structure of CoPdPt4.

Geometry as CIF:
```
data_CoPdPt4
_chemical_formula_sum 'Co4 Pd4 Pt16'
_cell_length_a 11.5126
_cell_length_b 7.2183
_cell_length_c 4.6861
_cell_angle_alpha 90.00
_cell_angle_beta 104.56
_cell_angle_gamma 90.00
_symmetry_space_group_name_H-M 'C 1 2/m 1'
_symmetry_Int_Tables_number 12
loop_
_symmetry_equiv_pos_as_xyz
'x,y,z'
'-x,-y,-z'
'-x,y,-z'
'x,-y,z'
'x+1/2,y+1/2,z'
'-x+1/2,-y+1/2,-z'
'-x+1/2,y+1/2,-z'
'x+1/2,-y+1/2,z'
loop_
_atom_site_label
_atom_site_fract_x
_atom_site_fract_y
_atom_site_fract_z
Co1 0.0648 0.0000 0.2297
Pd1 0.2033 0.5000 0.6281
Pt1 0.0000 0.2831 0.5000
Pt2 0.1291 0.3143 0.0817
Pt3 0.1603 0.0000 0.7812
```

M_tot (μB/cell): 14.19
ΔE to the lowest computed polymorph (eV/atom): 0.194
DOS at the Fermi energy (states/eV per cell): 35.8
Calculated formation energy (eV per formula unit): 0.69

***

2.
VASP calculation (PBE) on a relaxed structure of VSe3Br.

Geometry as CIF:
```
data_VSe3Br
_chemical_formula_sum 'V1 Se3 Br1'
_cell_length_a 5.1219
_cell_length_b 5.1219
_cell_length_c 5.1219
_cell_angle_alpha 90.00
_cell_angle_beta 90.00
_cell_angle_gamma 90.00
_symmetry_space_group_name_H-M 'P m -3 m'
_symmetry_Int_Tables_number 221
_symmetry_space_group_name_Hall '-P 4 2 3'
loop_
_atom_site_label
_atom_site_fract_x
_atom_site_fract_y
_atom_site_fract_z
V1 0.0000 0.0000 0.0000
Se1 0.0000 0.5000 0.5000
Br1 0.5000 0.5000 0.5000
```

M_tot (μB/cell): 2.05
Raw formation energy (eV/atom): 1.093
ΔE to the lowest computed polymorph (eV/atom): 1.386
DOS at the Fermi energy (states/eV per cell): 7.9

***

3.
VASP calculation (PBE) on a relaxed structure of TaBe2Hg.

Geometry as CIF:
```
data_TaBe2Hg
_chemical_formula_sum 'Ta2 Be4 Hg2'
_cell_length_a 2.8308
_cell_length_b 5.0392
_cell_length_c 8.6379
_cell_angle_alpha 90.00
_cell_angle_beta 90.00
_cell_angle_gamma 90.00
_symmetry_space_group_name_H-M 'I m m m'
_symmetry_Int_Tables_number 71
_symmetry_space_group_name_Hall '-I 2 2'
loop_
_atom_site_label
_atom_site_fract_x
_atom_site_fract_y
_atom_site_fract_z
Ta1 0.0000 0.0000 0.0000
Be1 0.0000 0.5000 0.2459
Hg1 0.0000 0.0000 0.5000
```

M_tot (μB/cell): 0.00
DOS at the Fermi energy (states/eV per cell): 4.8
Calculated formation energy (eV per formula unit): 2.55

***

4.
VASP calculation (PBE) on a relaxed structure of SrCa2Cl.

Geometry as CIF:
```
data_SrCa2Cl
_chemical_formula_sum 'Sr2 Ca4 Cl2'
_cell_length_a 7.0968
_cell_length_b 13.2195
_cell_length_c 3.9458
_cell_angle_alpha 90.00
_cell_angle_beta 121.39
_cell_angle_gamma 90.00
_symmetry_space_group_name_H-M 'C 1 2/m 1'
_symmetry_Int_Tables_number 12
loop_
_symmetry_equiv_pos_as_xyz
'x,y,z'
'-x,-y,-z'
'-x,y,-z'
'x,-y,z'
'x+1/2,y+1/2,z'
'-x+1/2,-y+1/2,-z'
'-x+1/2,y+1/2,-z'
'x+1/2,-y+1/2,z'
loop_
_atom_site_label
_atom_site_fract_x
_atom_site_fract_y
_atom_site_fract_z
Sr1 0.0000 0.0000 0.0000
Ca1 0.2500 0.2500 0.5000
Cl1 0.0000 0.5000 0.0000
```

M_tot (μB/cell): 0.00
Raw formation energy (eV/atom): -0.473
ΔE to the lowest computed polymorph (eV/atom): 0.318
DOS at the Fermi energy (states/eV per cell): 7.1

***

5.
VASP calculation (PBE) on a relaxed structure of TiBeCo.

Geometry as CIF:
```
data_TiBeCo
_chemical_formula_sum 'Ti1 Be1 Co1'
_cell_length_a 3.8331
_cell_length_b 3.8331
_cell_length_c 2.7761
_cell_angle_alpha 90.00
_cell_angle_beta 90.00
_cell_angle_gamma 120.00
_symmetry_space_group_name_H-M 'P 3 m 1'
_symmetry_Int_Tables_number 156
loop_
_symmetry_equiv_pos_as_xyz
'x,y,z'
'-y,x-y,z'
'-x+y,-x,z'
'-y,-x,z'
'-x+y,y,z'
'x,x-y,z'
loop_
_atom_site_label
_atom_site_fract_x
_atom_site_fract_y
_atom_site_fract_z
Ti1 0.0000 0.0000 0.0000
Be1 0.3333 0.6667 0.5011
Co1 0.6667 0.3333 0.4975
```

M_tot (μB/cell): 0.00
ΔE to the lowest computed polymorph (eV/atom): 0.118
DOS at the Fermi energy (states/eV per cell): 3.6
Calculated formation energy (eV per formula unit): -0.67

***

6.
VASP calculation (PBE) on a relaxed structure of Nd2Si3Pd4Au.

Geometry as CIF:
```
data_Nd2Si3Pd4Au
_chemical_formula_sum 'Nd2 Si3 Pd4 Au1'
_cell_length_a 4.2925
_cell_length_b 4.2925
_cell_length_c 10.2527
_cell_angle_alpha 90.00
_cell_angle_beta 90.00
_cell_angle_gamma 90.00
_symmetry_space_group_name_H-M 'P -4 m 2'
_symmetry_Int_Tables_number 115
loop_
_symmetry_equiv_pos_as_xyz
'x,y,z'
'y,-x,-z'
'-x,-y,z'
'-y,x,-z'
'-x,y,z'
'-y,-x,-z'
'x,-y,z'
'y,x,-z'
loop_
_atom_site_label
_atom_site_fract_x
_atom_site_fract_y
_atom_site_fract_z
Nd1 0.0000 0.5000 0.2459
Si1 0.0000 0.0000 0.0000
Si2 0.0000 0.5000 0.6193
Pd1 0.0000 0.0000 0.5000
Pd2 0.0000 0.5000 0.8484
Pd3 0.5000 0.5000 0.5000
Au1 0.5000 0.5000 0.0000
```

M_tot (μB/cell): 0.00
Raw formation energy (eV/atom): -0.790
DOS at the Fermi energy (states/eV per cell): 5.7

***

7.
VASP calculation (PBE) on a relaxed structure of Er2ZnAg2.

Geometry as CIF:
```
data_Er2ZnAg2
_chemical_formula_sum 'Er8 Zn4 Ag8'
_cell_length_a 10.6252
_cell_length_b 3.8609
_cell_length_c 11.6169
_cell_angle_alpha 90.00
_cell_angle_beta 111.33
_cell_angle_gamma 90.00
_symmetry_space_group_name_H-M 'C 1 2/m 1'
_symmetry_Int_Tables_number 12
loop_
_symmetry_equiv_pos_as_xyz
'x,y,z'
'-x,-y,-z'
'-x,y,-z'
'x,-y,z'
'x+1/2,y+1/2,z'
'-x+1/2,-y+1/2,-z'
'-x+1/2,y+1/2,-z'
'x+1/2,-y+1/2,z'
loop_
_atom_site_label
_atom_site_fract_x
_atom_site_fract_y
_atom_site_fract_z
Er1 0.0115 0.0000 0.1688
Er2 0.1866 0.0000 0.6076
Zn1 0.2004 0.5000 0.8138
Ag1 0.0341 0.5000 0.3896
Ag2 0.1553 0.5000 0.0408
```

M_tot (μB/cell): 0.00
ΔE to the lowest computed polymorph (eV/atom): 0.000
DOS at the Fermi energy (states/eV per cell): 15.0
Calculated formation energy (eV per formula unit): -1.43

***

8.
VASP calculation (PBE) on a relaxed structure of Ta3Fe8Os.

Geometry as CIF:
```
data_Ta3Fe8Os
_chemical_formula_sum 'Ta9 Fe24 Os3'
_cell_length_a 4.7812
_cell_length_b 4.7812
_cell_length_c 23.3530
_cell_angle_alpha 90.00
_cell_angle_beta 90.00
_cell_angle_gamma 120.00
_symmetry_space_group_name_H-M 'R 3 m'
_symmetry_Int_Tables_number 160
_symmetry_space_group_name_Hall 'R 3 -2"'
loop_
_atom_site_label
_atom_site_fract_x
_atom_site_fract_y
_atom_site_fract_z
Ta1 0.0000 0.0000 0.0000
Ta2 0.0000 0.0000 0.1282
Ta3 0.0000 0.0000 0.5104
Fe1 0.0000 0.0000 0.3168
Fe2 0.0000 0.0000 0.8170
Fe3 0.0012 0.5006 0.0674
Fe4 0.1679 0.3359 0.8998
Os1 0.0000 0.0000 0.6318
```

M_tot (μB/cell): 37.05
DOS at the Fermi energy (states/eV per cell): 40.8
Calculated formation energy (eV per formula unit): -2.01

***

9.
VASP calculation (PBE) on a relaxed structure of SrNpBi2.

Geometry as CIF:
```
data_SrNpBi2
_chemical_formula_sum 'Sr3 Np3 Bi6'
_cell_length_a 4.6456
_cell_length_b 4.6456
_cell_length_c 23.1993
_cell_angle_alpha 90.00
_cell_angle_beta 90.00
_cell_angle_gamma 120.00
_symmetry_space_group_name_H-M 'R -3 m'
_symmetry_Int_Tables_number 166
_symmetry_space_group_name_Hall '-R 3 2"'
loop_
_atom_site_label
_atom_site_fract_x
_atom_site_fract_y
_atom_site_fract_z
Sr1 0.0000 0.0000 0.0000
Np1 0.0000 0.0000 0.5000
Bi1 0.0000 0.0000 0.2408
```

M_tot (μB/cell): 9.60
ΔE to the lowest computed polymorph (eV/atom): 0.000
DOS at the Fermi energy (states/eV per cell): 26.7
Calculated formation energy (eV per formula unit): -1.33

***

10.
VASP calculation (PBE) on a relaxed structure of Ca3ZnPt3.

Geometry as CIF:
```
data_Ca3ZnPt3
_chemical_formula_sum 'Ca12 Zn4 Pt12'
_cell_length_a 4.2561
_cell_length_b 10.4112
_cell_length_c 14.0165
_cell_angle_alpha 90.00
_cell_angle_beta 90.00
_cell_angle_gamma 90.00
_symmetry_space_group_name_H-M 'C m c m'
_symmetry_Int_Tables_number 63
_symmetry_space_group_name_Hall '-C 2c 2'
loop_
_atom_site_label
_atom_site_fract_x
_atom_site_fract_y
_atom_site_fract_z
Ca1 0.0000 0.0092 0.2500
Ca2 0.0000 0.2908 0.1048
Zn1 0.0000 0.0000 0.0000
Pt1 0.0000 0.2842 0.7500
Pt2 0.0000 0.4187 0.5858
```

M_tot (μB/cell): 0.00
DOS at the Fermi energy (states/eV per cell): 8.3
Calculated formation energy (eV per formula unit): -6.26

***

11.
VASP calculation (PBE) on a relaxed structure of AcUBi2.

Geometry as CIF:
```
data_AcUBi2
_chemical_formula_sum 'Ac3 U3 Bi6'
_cell_length_a 4.6504
_cell_length_b 4.6504
_cell_length_c 23.3539
_cell_angle_alpha 90.00
_cell_angle_beta 90.00
_cell_angle_gamma 120.00
_symmetry_space_group_name_H-M 'R -3 m'
_symmetry_Int_Tables_number 166
_symmetry_space_group_name_Hall '-R 3 2"'
loop_
_atom_site_label
_atom_site_fract_x
_atom_site_fract_y
_atom_site_fract_z
Ac1 0.0000 0.0000 0.0000
U1 0.0000 0.0000 0.5000
Bi1 0.0000 0.0000 0.2427
```

M_tot (μB/cell): 8.36
ΔE to the lowest computed polymorph (eV/atom): 0.000
DOS at the Fermi energy (states/eV per cell): 24.8
Calculated formation energy (eV per formula unit): -1.54

***

12.
VASP calculation (PBE) on a relaxed structure of Rb2Te2I.

Geometry as CIF:
```
data_Rb2Te2I
_chemical_formula_sum 'Rb4 Te4 I2'
_cell_length_a 9.4007
_cell_length_b 9.4007
_cell_length_c 5.1429
_cell_angle_alpha 90.00
_cell_angle_beta 90.00
_cell_angle_gamma 90.00
_symmetry_space_group_name_H-M 'P 4/m b m'
_symmetry_Int_Tables_number 127
_symmetry_space_group_name_Hall '-P 4 2ab'
loop_
_atom_site_label
_atom_site_fract_x
_atom_site_fract_y
_atom_site_fract_z
Rb1 0.1893 0.3107 0.0000
Te1 0.1024 0.6024 0.5000
I1 0.0000 0.0000 0.5000
```

M_tot (μB/cell): 0.00
Raw formation energy (eV/atom): -0.773
ΔE to the lowest computed polymorph (eV/atom): 0.171
DOS at the Fermi energy (states/eV per cell): 7.0